# 1
## LiPrRh (GGA-PBE)

Data for LiPrRh after structural relaxation.

a b c (Å): 7.2409 7.2409 4.1190
angles (deg): 90.00 90.00 120.00
Positions (direct):
Li (0.0000, 0.2318, 0.0000)
Li (0.2318, 0.0000, 0.0000)
Li (0.7682, 0.7682, 0.0000)
Pr (0.0000, 0.5913, 0.5000)
Pr (0.4087, 0.4087, 0.5000)
Pr (0.5913, 0.0000, 0.5000)
Rh (0.0000, 0.0000, 0.5000)
Rh (0.3333, 0.6667, 0.0000)
Rh (0.6667, 0.3333, 0.0000)

Computed properties:
Space-group type: P-62m, No. 189
Offset from the most stable computed form (eV/atom): 0.000
E_form (eV/atom): -0.428

***

# 2
## LiPr4Rh (GGA-PBE)

Data for LiPr4Rh after structural relaxation.

a b c (Å): 9.2086 9.2086 6.7499
angles (deg): 101.01 101.01 132.40
Positions (direct):
Li (0.0759, 0.9241, 0.7500)
Li (0.9241, 0.0759, 0.2500)
Pr (0.0669, 0.4895, 0.2739)
Pr (0.2089, 0.3549, 0.7903)
Pr (0.3549, 0.2089, 0.2903)
Pr (0.4895, 0.0669, 0.7739)
Pr (0.5105, 0.9331, 0.2261)
Pr (0.6451, 0.7911, 0.7097)
Pr (0.7911, 0.6451, 0.2097)
Pr (0.9331, 0.5105, 0.7261)
Rh (0.4299, 0.5701, 0.2500)
Rh (0.5701, 0.4299, 0.7500)

Computed properties:
Space-group type: C2/c, No. 15
Offset from the most stable computed form (eV/atom): 0.197
E_form (eV/atom): -0.067

***

# 3
## LiPr2Rh (GGA-PBE)

Data for LiPr2Rh after structural relaxation.

a b c (Å): 3.6228 3.6228 7.9262
angles (deg): 90.00 90.00 90.00
Positions (direct):
Li (0.0000, 0.0000, 0.0000)
Pr (0.5000, 0.5000, 0.2862)
Pr (0.5000, 0.5000, 0.7138)
Rh (0.0000, 0.0000, 0.5000)

Computed properties:
Space-group type: P4/mmm, No. 123
E_form (eV/atom): -0.279

***

no.,theoretical density (Mg/m³),M_tot (Bohr magnetons per cell),calculated total energy (Ry/atom)
1,6.679,0.000,-0.376
2,6.007,0.000,-0.353
3,6.252,0.000,-0.366